Entry from Alexandria via LeMat-Bulk: crystalline HoTm5Pb2 at its relaxed geometry (GGA-PBE).

Structure (extended XYZ):
```
16
Lattice="2.450 -5.962 0.000 2.450 5.962 0.000 0.000 0.000 16.532" Properties=species:S:1:pos:R:3 pbc="T T T"
Ho 2.450 3.352 12.399
Ho 2.450 -3.352 4.133
Tm 2.450 5.232 4.133
Tm 2.450 4.431 8.960
Tm 2.450 4.431 15.839
Tm 2.450 0.628 9.932
Tm 2.450 0.628 14.866
Tm 2.450 -0.628 1.666
Tm 2.450 -0.628 6.600
Tm 2.450 -4.431 0.693
Tm 2.450 -4.431 7.573
Tm 2.450 -5.232 12.399
Pb 2.450 2.807 2.077
Pb 2.450 2.807 6.189
Pb 2.450 -2.807 10.343
Pb 2.450 -2.807 14.456
```

Values from the calculation:
* space group: No. 63
* density of states at the Fermi level: 17.968 states/eV/cell
* ΔE_f: -0.185 eV per atom